No. 1
Compound: LiZrGaCo
Source: Alexandria
Functional: PBE
Structure: optimized geometry

a b c (Å): 4.3290 4.3290 4.3290
angles (deg): 60.00 60.00 60.00
Fractional coordinates of all 4 atoms:
Li1 0.0000 0.0000 0.0000
Zr1 0.2500 0.2500 0.2500
Ga1 0.7500 0.7500 0.7500
Co1 0.5000 0.5000 0.5000

Results
* DOS at the Fermi energy: 5.44 states/eV/cell
* formation energy from the elements: -1.4 eV/f.u.


No. 2
Compound: LuGaCo2
Source: Alexandria
Functional: PBE
Structure: optimized geometry

a b c (Å): 4.1738 4.1738 3.2938
angles (deg): 90.00 90.00 90.00
Fractional coordinates of all 4 atoms:
Lu1 0.0000 0.0000 0.0000
Ga1 0.5000 0.5000 0.0000
Co1 0.0000 0.5000 0.5000
Co2 0.5000 0.0000 0.5000

Results
* DOS at the Fermi energy: 0.85 states/eV/cell
* formation energy from the elements: -1.1 eV/f.u.


No. 3
Compound: Lu2Ga3Co
Source: Alexandria
Functional: PBE
Structure: optimized geometry

a b c (Å): 8.6514 8.6514 6.8139
angles (deg): 90.00 90.00 120.00
Fractional coordinates of all 24 atoms:
Lu1 0.0000 0.0000 0.2500
Lu2 0.0000 0.0000 0.7500
Lu3 0.0513 0.5256 0.2500
Lu4 0.4744 0.5256 0.2500
Lu5 0.4744 0.9487 0.2500
Lu6 0.5256 0.0513 0.7500
Lu7 0.5256 0.4744 0.7500
Lu8 0.9487 0.4744 0.7500
Ga1 0.1726 0.3451 0.5466
Ga2 0.1726 0.3451 0.9534
Ga3 0.1726 0.8274 0.5466
Ga4 0.1726 0.8274 0.9534
Ga5 0.3451 0.1726 0.0466
Ga6 0.3451 0.1726 0.4534
Ga7 0.6549 0.8274 0.5466
Ga8 0.6549 0.8274 0.9534
Ga9 0.8274 0.1726 0.0466
Ga10 0.8274 0.1726 0.4534
Ga11 0.8274 0.6549 0.0466
Ga12 0.8274 0.6549 0.4534
Co1 0.3333 0.6667 0.5219
Co2 0.3333 0.6667 0.9781
Co3 0.6667 0.3333 0.0219
Co4 0.6667 0.3333 0.4781

Results
* DOS at the Fermi energy: 11.07 states/eV/cell
* formation energy from the elements: -3.5 eV/f.u.